Computed, not measured: an optimized crystal structure of Sc4TcTe at the GGA-PBE level of DFT.

Lattice parameters (Å, degrees): 6.523 6.108 8.862 110.44 111.59 90.00
Positions (direct):
1 Sc 0.568 0.073 0.256
2 Sc 0.086 0.041 0.360
3 Sc 0.725 0.459 0.640
4 Sc 0.312 0.427 0.744
5 Sc 0.432 0.927 0.744
6 Sc 0.914 0.959 0.640
7 Sc 0.688 0.573 0.256
8 Sc 0.275 0.541 0.360
9 Tc 0.500 0.000 0.500
10 Tc 0.000 0.500 0.500
11 Te 0.253 0.250 0.000
12 Te 0.747 0.750 0.000

Calculated values
formation energy from raw total energies	-0.34	eV/atom
total energy	-6.815	eV per atom
SG	C2/c (15)
relative energy among the computed polymorphs	204.5	meV per atom



Computed, not measured: an optimized crystal structure of AsAu3 at the GGA-PBE level of DFT.

Lattice parameters (Å, degrees): 5.950 5.950 4.816 90.00 90.00 120.00
Positions (direct):
1 As 0.333 0.667 0.250
2 As 0.667 0.333 0.750
3 Au 0.334 0.167 0.250
4 Au 0.666 0.833 0.750
5 Au 0.833 0.167 0.250
6 Au 0.167 0.334 0.750
7 Au 0.167 0.833 0.750
8 Au 0.833 0.666 0.250

Calculated values
total energy	-3.465	eV per atom
SG	P6_3/mmc (194)
energy of formation	0.16	eV per atom
relative energy among the computed polymorphs	50.4	meV per atom



Computed, not measured: an optimized crystal structure of HfRu3 at the GGA-PBE level of DFT.

Lattice parameters (Å, degrees): 3.950 3.950 3.950 90.00 90.00 90.00
Positions (direct):
1 Ru 0.500 0.500 0.000
2 Ru 0.500 0.000 0.500
3 Ru 0.000 0.500 0.500
4 Hf 0.000 0.000 0.000

Calculated values
total energy	-9.665	eV per atom
SG	Pm-3m (221)
energy of formation	-0.22	eV per atom
relative energy among the computed polymorphs	0.0	meV per atom



Computed, not measured: an optimized crystal structure of CuMoAu2 at the GGA-PBE level of DFT.

Lattice parameters (Å, degrees): 2.801 2.801 8.132 90.00 90.00 89.94
Positions (direct):
1 Au 0.500 0.500 0.273
2 Au 0.000 0.000 0.990
3 Cu 0.000 0.000 0.506
4 Mo 0.500 0.500 0.731

Calculated values
total energy	-5.234	eV per atom
SG	P4mm (99)
energy of formation	0.14	eV per atom
relative energy among the computed polymorphs	8.2	meV per atom



Computed, not measured: an optimized crystal structure of LiRh2 at the GGA-PBE level of DFT.

Lattice parameters (Å, degrees): 4.521 4.521 4.521 144.96 129.99 62.52
Positions (direct):
1 Li 0.000 0.000 0.000
2 Rh 0.332 0.332 0.000
3 Rh 0.668 0.668 0.000

Calculated values
total energy	-5.613	eV per atom
SG	Immm (71)
energy of formation	-0.07	eV per atom



Computed, not measured: an optimized crystal structure of LaY2Sn at the GGA-PBE level of DFT.

Lattice parameters (Å, degrees): 5.187 5.187 6.529 66.59 66.59 60.00
Positions (direct):
1 La 0.490 0.490 0.529
2 Y 0.047 0.047 0.858
3 Y 0.275 0.275 0.176
4 Sn 0.688 0.688 0.937

Calculated values
total energy	-5.659	eV per atom
SG	R3m (160)
energy of formation	-0.19	eV per atom



Computed, not measured: an optimized crystal structure of Th2Sc3Ge2 at the GGA-PBE level of DFT.

Lattice parameters (Å, degrees): 4.047 6.075 8.146 112.69 90.00 109.46
Positions (direct):
1 Sc 0.500 0.000 0.000
2 Sc 0.376 0.752 0.555
3 Sc 0.624 0.248 0.445
4 Th 0.146 0.292 0.804
5 Th 0.854 0.708 0.196
6 Ge 0.846 0.692 0.776
7 Ge 0.154 0.308 0.224

Calculated values
total energy	-6.686	eV per atom
SG	C2/m (12)
energy of formation	-0.53	eV per atom



Computed, not measured: an optimized crystal structure of PuBiTePb at the GGA-PBE level of DFT.

Lattice parameters (Å, degrees): 5.570 5.570 5.570 60.00 60.00 60.00
Positions (direct):
1 Pu 0.500 0.500 0.500
2 Bi 0.750 0.750 0.750
3 Te 0.250 0.250 0.250
4 Pb 0.000 0.000 0.000

Calculated values
formation energy from raw total energies	-0.30	eV/atom
total energy	-6.563	eV per atom
SG	F-43m (216)



Computed, not measured: an optimized crystal structure of NiRuSe2 at the GGA-PBE level of DFT.

Lattice parameters (Å, degrees): 3.192 3.469 6.469 90.00 90.00 90.00
Positions (direct):
1 Ru 0.500 0.500 0.741
2 Se 0.000 0.000 0.885
3 Se 0.500 0.500 0.370
4 Ni 0.000 0.000 0.504

Calculated values
formation energy from raw total energies	-0.10	eV/atom
total energy	-5.609	eV per atom
SG	Pmm2 (25)
relative energy among the computed polymorphs	90.5	meV per atom



Computed, not measured: an optimized crystal structure of Mg2AsRh at the GGA-PBE level of DFT.

Lattice parameters (Å, degrees): 3.202 3.202 7.231 90.00 90.00 90.00
Positions (direct):
1 Mg 0.500 0.500 0.290
2 Mg 0.000 0.000 0.970
3 As 0.500 0.500 0.700
4 Rh 0.000 0.000 0.540

Calculated values
total energy	-4.126	eV per atom
SG	P4mm (99)
energy of formation	-0.33	eV per atom



Computed, not measured: an optimized crystal structure of PrSc2ZnPd4 at the GGA-PBE level of DFT.

Lattice parameters (Å, degrees): 4.561 4.561 9.007 75.33 75.33 60.00
Positions (direct):
1 Sc 0.236 0.236 0.293
2 Sc 0.764 0.764 0.707
3 Zn 0.500 0.500 0.500
4 Pd 0.399 0.399 0.804
5 Pd 0.870 0.870 0.389
6 Pd 0.601 0.601 0.196
7 Pd 0.130 0.130 0.611
8 Pr 0.000 0.000 0.000

Calculated values
total energy	-5.691	eV per atom
SG	R-3m (166)
energy of formation	-0.75	eV per atom



Copy entry 1 word for word.
Computed, not measured: an optimized crystal structure of Sc4TcTe at the GGA-PBE level of DFT.

Lattice parameters (Å, degrees): 6.523 6.108 8.862 110.44 111.59 90.00
Positions (direct):
1 Sc 0.568 0.073 0.256
2 Sc 0.086 0.041 0.360
3 Sc 0.725 0.459 0.640
4 Sc 0.312 0.427 0.744
5 Sc 0.432 0.927 0.744
6 Sc 0.914 0.959 0.640
7 Sc 0.688 0.573 0.256
8 Sc 0.275 0.541 0.360
9 Tc 0.500 0.000 0.500
10 Tc 0.000 0.500 0.500
11 Te 0.253 0.250 0.000
12 Te 0.747 0.750 0.000

Calculated values
formation energy from raw total energies	-0.34	eV/atom
total energy	-6.815	eV per atom
SG	C2/c (15)
relative energy among the computed polymorphs	204.5	meV per atom



- Among the records above, which one has the highest total energy?
  AsAu3



- Which value of total energy does entry 2 give?
  -3.465 eV per atom